1.
A plane-wave DFT calculation with PBE was carried out for TiAl3Rh4 after structural relaxation.

Properties
E_form in kcal/mol of atoms: -24.0
Fermi-level density of states in states/eV/f.u.: 3.705
Uncorrected energy in eV/atom: -7.1074

Structure (CIF):
```
data_TiAl3Rh4
_cell_length_a 4.2652
_cell_length_b 4.2652
_cell_length_c 6.1210
_cell_angle_alpha 90.00
_cell_angle_beta 90.00
_cell_angle_gamma 90.00
_symmetry_space_group_name_H-M 'P 4/m m m'
_symmetry_Int_Tables_number 123
_symmetry_space_group_name_Hall '-P 4 2'
loop_
_atom_site_label
_atom_site_type_symbol
_atom_site_fract_x
_atom_site_fract_y
_atom_site_fract_z
Ti1 Ti 0.0000 0.0000 0.0000
Al1 Al 0.0000 0.0000 0.5000
Al2 Al 0.5000 0.5000 0.0000
Al3 Al 0.5000 0.5000 0.5000
Rh1 Rh 0.0000 0.5000 0.2538
```

***

2.
A plane-wave DFT calculation with PBE was carried out for PmMg2Ag3 after structural relaxation.

Properties
E_form in kcal/mol of atoms: -5.8
Energy relative to the lowest polymorph listed for this composition in eV per atom: 0.000
Fermi-level density of states in states/eV/f.u.: 3.974
Uncorrected energy in eV/atom: -2.9996

Structure (CIF):
```
data_PmMg2Ag3
_cell_length_a 4.7744
_cell_length_b 4.7744
_cell_length_c 13.1940
_cell_angle_alpha 90.00
_cell_angle_beta 90.00
_cell_angle_gamma 120.00
_symmetry_space_group_name_H-M 'P 63/m m c'
_symmetry_Int_Tables_number 194
_symmetry_space_group_name_Hall '-P 6c 2c'
loop_
_atom_site_label
_atom_site_type_symbol
_atom_site_fract_x
_atom_site_fract_y
_atom_site_fract_z
Pm1 Pm 0.0000 0.0000 0.2500
Mg1 Mg 0.3333 0.6667 0.0762
Ag1 Ag 0.0000 0.0000 0.0000
Ag2 Ag 0.3333 0.6667 0.6363
```